YMn2O4 | the Alexandria database | PBE+U | relaxed; E_tot = -8.047 eV/atom; space-group type = I4_1/a, No. 88; ρ = 5.333 g cm⁻³
1.0
-2.879 2.879 4.936
2.879 -2.879 4.936
2.879 2.879 -4.936
Y Mn O
2 4 8
Cartesian
0.000 1.439 1.234
2.879 1.439 3.702
1.439 1.439 -2.468
1.439 -1.439 2.468
2.879 0.000 0.000
0.000 0.000 4.936
1.174 0.561 -0.728
2.000 0.266 1.740
1.705 -0.561 4.207
2.000 3.145 -1.740
0.879 -0.266 6.675
1.174 3.440 0.728
0.879 2.613 3.196
1.705 2.318 5.664